No. 1
{"formula": "CoSe2Cl", "functional": "PBE-GGA", "state": "optimized geometry", "lattice": [[1.651, 0.000, 11.592], [-0.825, 1.429, 11.592], [-0.825, -1.429, 11.592]], "species": ["Co", "Se", "Se", "Cl"], "fractional_positions": [[0.000, 0.000, 0.000], [0.935, 0.935, 0.935], [0.065, 0.065, 0.065], [0.500, 0.500, 0.500]], "total_magnetization_mub_per_cell": 0.9, "sg": "No. 166", "e_form_raw_ev_per_atom": 0.39, "e_above_lowest_polymorph_mev_per_atom": 645.3, "n_ef_per_ev_atom": 0.80}

No. 2
{"formula": "BaNaB2", "functional": "PBE-GGA", "state": "optimized geometry", "lattice": [[-2.256, 1.611, 3.207], [-2.517, -3.411, -0.057], [3.022, -4.989, 7.433]], "species": ["Na", "Na", "B", "B", "B", "B", "Ba", "Ba"], "fractional_positions": [[0.500, 0.500, 0.000], [0.250, 0.750, 0.500], [0.375, 0.125, 0.250], [0.375, 0.625, 0.250], [0.375, 0.625, 0.750], [0.875, 0.625, 0.750], [0.000, 0.000, 0.000], [0.750, 0.250, 0.500]], "formation_energy_mev_per_atom": 1142, "total_magnetization_mub_per_cell": 0.0, "sg": "No. 141", "e_above_lowest_polymorph_mev_per_atom": 0.0, "n_ef_per_ev_atom": 0.42}

No. 3
{"formula": "AcPr6NdY2", "functional": "PBE-GGA", "state": "optimized geometry", "lattice": [[9.413, -2.080, -2.158], [0.985, 8.849, -1.982], [0.985, -2.308, 8.769]], "species": ["Ac", "Ac", "Pr", "Pr", "Pr", "Pr", "Pr", "Pr", "Pr", "Pr", "Pr", "Pr", "Pr", "Pr", "Nd", "Nd", "Y", "Y", "Y", "Y"], "fractional_positions": [[0.250, 0.964, 0.036], [0.750, 0.036, 0.964], [0.057, 0.109, 0.755], [0.443, 0.245, 0.891], [0.943, 0.891, 0.245], [0.557, 0.755, 0.109], [0.321, 0.992, 0.449], [0.179, 0.551, 0.008], [0.679, 0.008, 0.551], [0.821, 0.449, 0.992], [0.118, 0.705, 0.481], [0.382, 0.519, 0.295], [0.882, 0.295, 0.519], [0.618, 0.481, 0.705], [0.250, 0.408, 0.592], [0.750, 0.592, 0.408], [0.449, 0.797, 0.697], [0.051, 0.303, 0.203], [0.551, 0.203, 0.303], [0.949, 0.697, 0.797]], "formation_energy_mev_per_atom": 114, "total_magnetization_mub_per_cell": 0.0, "sg": "No. 15", "n_ef_per_ev_atom": 1.42}

No. 4
{"formula": "SmEr3P4", "functional": "PBE-GGA", "state": "optimized geometry", "lattice": [[-1.621, -2.869, 2.276], [5.272, -4.223, -1.569], [5.080, 0.818, 4.649]], "species": ["P", "P", "P", "P", "Sm", "Er", "Er", "Er"], "fractional_positions": [[0.000, 0.756, 0.744], [0.500, 0.753, 0.253], [0.000, 0.244, 0.256], [0.500, 0.247, 0.747], [0.500, 0.500, 0.000], [0.500, 0.000, 0.500], [0.000, 0.000, 0.000], [0.000, 0.500, 0.500]], "formation_energy_mev_per_atom": -1596, "total_magnetization_mub_per_cell": 0.0, "sg": "No. 65", "n_ef_per_ev_atom": 0.11}

No. 5
{"formula": "CaGaAg", "functional": "PBE-GGA", "state": "optimized geometry", "lattice": [[-2.764, -2.137, 0.961], [2.219, -1.911, 2.133], [-0.790, 5.156, 2.364]], "species": ["Ca", "Ga", "Ag"], "fractional_positions": [[0.281, 0.281, 0.562], [0.593, 0.593, 0.185], [0.976, 0.976, 0.952]], "formation_energy_mev_per_atom": -276, "total_magnetization_mub_per_cell": 0.0, "sg": "No. 107", "n_ef_per_ev_atom": 0.38}